Here is a relaxed structure of La2HoSb3Pt4 from the Alexandria database. Energies are from PBE-GGA.

Cell lengths 4.5740, 4.5740, 11.3663 Å; angles 90.00, 90.00, 90.00 degrees
Positions (direct):
La: 0.0000 0.5000 0.2170
La: 0.5000 0.0000 0.7830
Ho: 0.0000 0.0000 0.5000
Sb: 0.0000 0.5000 0.8711
Sb: 0.5000 0.0000 0.1289
Sb: 0.5000 0.5000 0.5000
Pt: 0.0000 0.0000 0.0000
Pt: 0.0000 0.5000 0.6414
Pt: 0.5000 0.0000 0.3586
Pt: 0.5000 0.5000 0.0000

## Properties
V = 237.8 Å³/f.u.
size of the total moment = 0.000 μB per atom
mass density = 11.09 g/cm³
symmetry = P-4m2
total energy = -6.1035 eV/atom
uncorrected formation energy = -1.007 eV/atom
crystal system = tetragonal

=====

Here is a relaxed structure of La2HoSi3Pt4 from the Alexandria database. Energies are from PBE-GGA.

Cell lengths 4.3260, 4.3260, 10.7701 Å; angles 90.00, 90.00, 90.00 degrees
Positions (direct):
La: 0.0000 0.5000 0.2305
La: 0.5000 0.0000 0.7695
Ho: 0.0000 0.0000 0.5000
Si: 0.0000 0.5000 0.8829
Si: 0.5000 0.0000 0.1171
Si: 0.5000 0.5000 0.5000
Pt: 0.0000 0.0000 0.0000
Pt: 0.0000 0.5000 0.6581
Pt: 0.5000 0.0000 0.3419
Pt: 0.5000 0.5000 0.0000

## Properties
V = 201.6 Å³/f.u.
size of the total moment = 0.000 μB per atom
mass density = 10.77 g/cm³
symmetry = P-4m2
total energy = -6.5754 eV/atom
uncorrected formation energy = -1.089 eV/atom
crystal system = tetragonal

=====

Copy entry 1 word for word.
Here is a relaxed structure of La2HoSb3Pt4 from the Alexandria database. Energies are from PBE-GGA.

Cell lengths 4.5740, 4.5740, 11.3663 Å; angles 90.00, 90.00, 90.00 degrees
Positions (direct):
La: 0.0000 0.5000 0.2170
La: 0.5000 0.0000 0.7830
Ho: 0.0000 0.0000 0.5000
Sb: 0.0000 0.5000 0.8711
Sb: 0.5000 0.0000 0.1289
Sb: 0.5000 0.5000 0.5000
Pt: 0.0000 0.0000 0.0000
Pt: 0.0000 0.5000 0.6414
Pt: 0.5000 0.0000 0.3586
Pt: 0.5000 0.5000 0.0000

## Properties
V = 237.8 Å³/f.u.
size of the total moment = 0.000 μB per atom
mass density = 11.09 g/cm³
symmetry = P-4m2
total energy = -6.1035 eV/atom
uncorrected formation energy = -1.007 eV/atom
crystal system = tetragonal

=====

Which formula does entry 1 have?
La2HoSb3Pt4